Record 1
{
  "formula": "Ac2YSb3Pd4",
  "functional": "PBE",
  "state": "relaxed",
  "lattice": [[4.6295, 0.0000, 0.0000], [0.0000, 4.6295, 0.0000], [0.0000, 0.0000, 11.5402]],
  "species": ["Ac", "Ac", "Y", "Sb", "Sb", "Sb", "Pd", "Pd", "Pd", "Pd"],
  "frac_coords": [[0.0000, 0.5000, 0.2197], [0.5000, 0.0000, 0.7803], [0.0000, 0.0000, 0.5000], [0.0000, 0.5000, 0.8735], [0.5000, 0.0000, 0.1265], [0.5000, 0.5000, 0.5000], [0.0000, 0.0000, 0.0000], [0.0000, 0.5000, 0.6433], [0.5000, 0.0000, 0.3567], [0.5000, 0.5000, 0.0000]],
  "density_g_cm3": 9.0,
  "e_form_raw_mev_per_atom": -947,
  "spacegroup": "No. 115"
}

***

Record 2
{
  "formula": "Ac2YSb4Pd3",
  "functional": "PBE",
  "state": "relaxed",
  "lattice": [[4.7135, 0.0000, 0.0000], [0.0000, 4.7135, 0.0000], [0.0000, 0.0000, 11.7974]],
  "species": ["Ac", "Ac", "Y", "Sb", "Sb", "Sb", "Sb", "Pd", "Pd", "Pd"],
  "frac_coords": [[0.0000, 0.5000, 0.2262], [0.5000, 0.0000, 0.7738], [0.0000, 0.0000, 0.5000], [0.0000, 0.0000, 0.0000], [0.0000, 0.5000, 0.6529], [0.5000, 0.0000, 0.3471], [0.5000, 0.5000, 0.0000], [0.0000, 0.5000, 0.8800], [0.5000, 0.0000, 0.1200], [0.5000, 0.5000, 0.5000]],
  "density_g_cm3": 8.5,
  "e_form_raw_mev_per_atom": -895,
  "spacegroup": "No. 115"
}

***

Record 3
{
  "formula": "Ac2ZnSb3Pd4",
  "functional": "PBE",
  "state": "relaxed",
  "lattice": [[4.6686, 0.0000, 0.0000], [0.0000, 4.6686, 0.0000], [0.0000, 0.0000, 10.6180]],
  "species": ["Ac", "Ac", "Zn", "Sb", "Sb", "Sb", "Pd", "Pd", "Pd", "Pd"],
  "frac_coords": [[0.0000, 0.5000, 0.2442], [0.5000, 0.0000, 0.7558], [0.0000, 0.0000, 0.5000], [0.0000, 0.5000, 0.8676], [0.5000, 0.0000, 0.1324], [0.5000, 0.5000, 0.5000], [0.0000, 0.0000, 0.0000], [0.0000, 0.5000, 0.6177], [0.5000, 0.0000, 0.3823], [0.5000, 0.5000, 0.0000]],
  "density_g_cm3": 9.4,
  "e_form_raw_mev_per_atom": -869,
  "spacegroup": "No. 115"
}

***

Record 4
{
  "formula": "Ac2ZnSbPd6",
  "functional": "PBE",
  "state": "relaxed",
  "lattice": [[5.0736, -2.9280, 0.0000], [5.0736, 2.9280, 0.0000], [-3.3778, 0.0000, 7.9515]],
  "species": ["Ac", "Ac", "Zn", "Sb", "Pd", "Pd", "Pd", "Pd", "Pd", "Pd"],
  "frac_coords": [[0.2129, 0.2129, 0.1396], [0.7871, 0.7871, 0.8604], [0.5000, 0.5000, 0.0000], [0.0000, 0.0000, 0.5000], [0.2542, 0.2542, 0.7512], [0.2543, 0.7450, 0.7522], [0.2550, 0.7457, 0.2478], [0.7450, 0.2543, 0.7522], [0.7457, 0.2550, 0.2478], [0.7458, 0.7458, 0.2488]],
  "density_g_cm3": 9.0,
  "e_form_raw_mev_per_atom": -598,
  "spacegroup": "No. 12"
}